1.
A plane-wave DFT calculation with PBE was carried out for a relaxed Li3Ga2Au7 crystal.

abc: 4.931 5.322 9.790
angles: 92.57 101.44 113.72
Element x y z (fractional)
Li  0.000  0.000  0.000
Li  0.043  0.733  0.600
Li  0.957  0.267  0.400
Ga  0.401  0.789  0.180
Ga  0.599  0.211  0.820
Au  0.050  0.222  0.713
Au  0.420  0.276  0.250
Au  0.484  0.245  0.544
Au  0.500  0.500  0.000
Au  0.516  0.755  0.456
Au  0.580  0.724  0.750
Au  0.950  0.778  0.287

- VASP energy: -38.36 eV for the cell shown
- M_tot: 0.000 μB per formula unit
- Density of states at the Fermi level: 0.30 states/eV per atom
- ΔH_f (0 K): -29.1 kJ/mol of atoms
- SG: P-1 (2)
- Energy relative to the lowest polymorph listed for this composition: 0 meV/atom

---

2.
A plane-wave DFT calculation with PBE was carried out for a relaxed Li5Ga4Au crystal.

abc: 3.083 3.083 16.482
angles: 90.00 90.00 90.00
Element x y z (fractional)
Li  0.000  0.000  0.000
Li  0.000  0.000  0.207
Li  0.000  0.000  0.410
Li  0.000  0.000  0.590
Li  0.000  0.000  0.793
Ga  0.500  0.500  0.102
Ga  0.500  0.500  0.312
Ga  0.500  0.500  0.688
Ga  0.500  0.500  0.898
Au  0.500  0.500  0.500

- VASP energy: -28.22 eV for the cell shown
- M_tot: 0.000 μB per formula unit
- Density of states at the Fermi level: 0.19 states/eV per atom
- ΔH_f (0 K): -31.5 kJ/mol of atoms
- SG: P4/mmm (123)

---

3.
A plane-wave DFT calculation with PBE was carried out for a relaxed LiGa4Au crystal.

abc: 5.026 5.026 5.575
angles: 103.76 103.76 53.24
Element x y z (fractional)
Li  0.000  0.000  0.000
Ga  0.305  0.305  0.745
Ga  0.376  0.376  0.245
Ga  0.625  0.625  0.757
Ga  0.696  0.696  0.257
Au  0.000  0.000  0.500

- VASP energy: -18.37 eV for the cell shown
- M_tot: 0.000 μB per formula unit
- Density of states at the Fermi level: 0.24 states/eV per atom
- ΔH_f (0 K): -17.2 kJ/mol of atoms
- SG: Cm (8)
- Energy relative to the lowest polymorph listed for this composition: 0 meV/atom